[1]
## FeNi2B (PBE)

Data for a relaxed FeNi2B crystal.

Summary:
**Mass density**: 7.42 g/cm3
**ΔE_f**: 0.146 eV per atom

Structure (CIF):
```
data_FeNi2B
_cell_length_a 3.557
_cell_length_b 3.557
_cell_length_c 4.286
_cell_angle_alpha 65.48
_cell_angle_beta 65.48
_cell_angle_gamma 60.00
_symmetry_space_group_name_H-M 'P 1'
_symmetry_Int_Tables_number 1
_symmetry_space_group_name_Hall 'P 1'
loop_
_atom_site_label
_atom_site_type_symbol
_atom_site_fract_x
_atom_site_fract_y
_atom_site_fract_z
B1 B 0.500 0.500 0.500
Ni1 Ni 0.779 0.779 0.664
Fe1 Fe 0.000 0.000 0.000
Ni2 Ni 0.221 0.221 0.336
```


[2]
## FeNiB (PBE)

Data for a relaxed FeNiB crystal.

Summary:
**Mass density**: 7.05 g/cm3
**ΔE_f**: -0.066 eV per atom

Structure (CIF):
```
data_FeNiB
_cell_length_a 3.470
_cell_length_b 3.470
_cell_length_c 3.470
_cell_angle_alpha 60.00
_cell_angle_beta 60.00
_cell_angle_gamma 60.00
_symmetry_space_group_name_H-M 'P 1'
_symmetry_Int_Tables_number 1
_symmetry_space_group_name_Hall 'P 1'
loop_
_atom_site_label
_atom_site_type_symbol
_atom_site_fract_x
_atom_site_fract_y
_atom_site_fract_z
Ni1 Ni 0.000 0.000 0.000
Fe1 Fe 0.500 0.500 0.500
B1 B 0.250 0.250 0.250
```


[3]
## Np2Fe3NiB12 (PBE)

Data for a relaxed Np2Fe3NiB12 crystal.

Summary:
**Mass density**: 7.53 g/cm3
**ΔE_f**: 0.072 eV per atom

Structure (CIF):
```
data_Np2Fe3NiB12
_cell_length_a 7.926
_cell_length_b 7.926
_cell_length_c 7.926
_cell_angle_alpha 39.69
_cell_angle_beta 39.69
_cell_angle_gamma 39.69
_symmetry_space_group_name_H-M 'P 1'
_symmetry_Int_Tables_number 1
_symmetry_space_group_name_Hall 'P 1'
loop_
_atom_site_label
_atom_site_type_symbol
_atom_site_fract_x
_atom_site_fract_y
_atom_site_fract_z
B1 B 0.027 0.349 0.349
Fe1 Fe 0.000 0.500 0.000
B2 B 0.677 0.053 0.053
B3 B 0.053 0.677 0.053
Np1 Np 0.360 0.360 0.360
B4 B 0.323 0.947 0.947
B5 B 0.973 0.651 0.651
B6 B 0.947 0.947 0.323
B7 B 0.349 0.349 0.027
B8 B 0.349 0.027 0.349
B9 B 0.053 0.053 0.677
B10 B 0.651 0.973 0.651
Np2 Np 0.640 0.640 0.640
Ni1 Ni 0.000 0.000 0.000
Fe2 Fe 0.500 0.000 0.000
Fe3 Fe 0.000 0.000 0.500
B11 B 0.947 0.323 0.947
B12 B 0.651 0.651 0.973
```


The highest ΔE_f belongs to which entry? FeNi2B


Among the records above, which one has the lowest mass density? FeNiB